# 1
# MgTlFeBi (GGA-PBE, optimized geometry)
data_MgTlFeBi
_cell_length_a 7.135
_cell_length_b 7.135
_cell_length_c 7.135
_cell_angle_alpha 90.00
_cell_angle_beta 90.00
_cell_angle_gamma 90.00
_space_group_name_H-M_alt 'F -4 3 m'
_space_group_IT_number 216
_space_group_name_Hall 'F -4 2 3'
loop_
_atom_site_label
_atom_site_fract_x
_atom_site_fract_y
_atom_site_fract_z
Mg1 0.000 0.000 0.000
Tl1 0.250 0.250 0.250
Fe1 0.000 0.000 0.500
Bi1 0.250 0.250 0.750
# VASP energy	-58.988	eV for the cell shown
# calculated density	9.02	g cm⁻³

# 2
# MgFeBiW (GGA-PBE, optimized geometry)
data_MgFeBiW
_cell_length_a 6.574
_cell_length_b 6.574
_cell_length_c 6.574
_cell_angle_alpha 90.00
_cell_angle_beta 90.00
_cell_angle_gamma 90.00
_space_group_name_H-M_alt 'F -4 3 m'
_space_group_IT_number 216
_space_group_name_Hall 'F -4 2 3'
loop_
_atom_site_label
_atom_site_fract_x
_atom_site_fract_y
_atom_site_fract_z
Mg1 0.000 0.000 0.000
Fe1 0.250 0.250 0.750
Bi1 0.000 0.000 0.500
W1 0.250 0.250 0.250
# VASP energy	-93.132	eV for the cell shown
# calculated density	11.06	g cm⁻³

# 3
# MgFeBiW (GGA-PBE, optimized geometry)
data_MgFeBiW
_cell_length_a 6.530
_cell_length_b 6.530
_cell_length_c 6.530
_cell_angle_alpha 90.00
_cell_angle_beta 90.00
_cell_angle_gamma 90.00
_space_group_name_H-M_alt 'F -4 3 m'
_space_group_IT_number 216
_space_group_name_Hall 'F -4 2 3'
loop_
_atom_site_label
_atom_site_fract_x
_atom_site_fract_y
_atom_site_fract_z
Mg1 0.000 0.000 0.000
Fe1 0.000 0.000 0.500
Bi1 0.250 0.250 0.250
W1 0.250 0.250 0.750
# VASP energy	-93.379	eV for the cell shown
# calculated density	11.28	g cm⁻³

no.,offset from the most stable computed form (eV per atom)
1,0.0000
2,0.0154
3,0.0000